No. 1
The following is a GGA-PBE calculation of an optimized crystal structure of Nd3ErTh2, from the Alexandria database.

## Properties
Energy above the lowest structure with this stoichiometry ... 0.0 meV per atom
ΔH_f (0 K) ... 43 meV per atom

a = 3.6273 Å, b = 10.2032 Å, c = 10.8251 Å
α = 90.43°, β = 90.00°, γ = 90.00°
With the nearest neighbours (Å) after each atom.
Sites, in units of the cell vectors:
Nd: 0.2500 0.3609 0.0838  2 Er 3.52, 3 Th 3.57-3.62, 7 Nd 3.62-3.84
Nd: 0.2500 0.3770 0.7499  7 Nd 3.56-3.69, 5 Th 3.59-3.72
Nd: 0.2500 0.8678 0.4158  6 Nd 3.56-3.72, 3 Th 3.59-3.62, 3 Er 3.61-3.67
Nd: 0.7500 0.6391 0.9162  2 Er 3.52, 3 Th 3.57-3.62, 7 Nd 3.62-3.84
Nd: 0.7500 0.1322 0.5842  6 Nd 3.56-3.72, 3 Th 3.59-3.62, 3 Er 3.61-3.67
Nd: 0.7500 0.6230 0.2501  7 Nd 3.56-3.69, 5 Th 3.59-3.72
Th: 0.2500 0.8852 0.0819  4 Th 3.46-3.63, 3 Er 3.54-3.60, 5 Nd 3.57-3.72
Th: 0.7500 0.6218 0.5823  4 Th 3.55-3.63, 6 Nd 3.59-3.62, 2 Er 3.63
Th: 0.7500 0.1148 0.9181  4 Th 3.46-3.63, 3 Er 3.54-3.60, 5 Nd 3.57-3.72
Th: 0.2500 0.3782 0.4177  4 Th 3.55-3.63, 6 Nd 3.59-3.62, 2 Er 3.63
Er: 0.7500 0.1252 0.2505  5 Nd 3.52-3.67, 5 Th 3.54-3.63, 2 Er 3.63
Er: 0.2500 0.8748 0.7495  5 Nd 3.52-3.67, 5 Th 3.54-3.63, 2 Er 3.63



No. 2
The following is a GGA-PBE calculation of an optimized crystal structure of TlZnHg, from the Alexandria database.

## Properties
Energy above the lowest structure with this stoichiometry ... 10.0 meV per atom
ΔH_f (0 K) ... 70 meV per atom

a = 3.8347 Å, b = 6.0687 Å, c = 6.8197 Å
α = 99.37°, β = 105.93°, γ = 89.41°
With the nearest neighbours (Å) after each atom.
Sites, in units of the cell vectors:
Zn: 0.2236 0.8535 0.9449  2 Zn 2.62-2.64, 2 Hg 2.82-2.83
Zn: 0.7764 0.1465 0.0551  2 Zn 2.62-2.64, 2 Hg 2.82-2.83
Hg: 0.5649 0.8019 0.6240  2 Zn 2.82-2.83, 1 Hg 3.12
Hg: 0.4351 0.1981 0.3760  2 Zn 2.82-2.83, 1 Hg 3.12
Tl: 0.1313 0.3552 0.7715  3 Zn 3.05-3.09, 2 Hg 3.23-3.25
Tl: 0.8687 0.6448 0.2285  3 Zn 3.05-3.09, 2 Hg 3.23-3.25



No. 3
The following is a GGA-PBE calculation of an optimized crystal structure of AgI2Cl8, from the Alexandria database.

## Properties
Energy above the lowest structure with this stoichiometry ... 147.9 meV per atom
ΔE_f (raw) ... -0.06 eV per atom

a = 7.3865 Å, b = 8.2467 Å, c = 8.2467 Å
α = 51.41°, β = 107.16°, γ = 107.16°
With the nearest neighbours (Å) after each atom.
Sites, in units of the cell vectors:
Cl: 0.2936 0.3493 0.3493  1 I 2.43
Cl: 0.8125 0.6629 0.1501  1 Ag 2.37
Cl: 0.7064 0.6507 0.6507  1 I 2.43
Cl: 0.1875 0.3371 0.8499  1 Ag 2.37
Cl: 0.2970 0.8502 0.8502  1 I 2.45
Cl: 0.8125 0.1501 0.6629  1 Ag 2.37
Cl: 0.1875 0.8499 0.3371  1 Ag 2.37
Cl: 0.7030 0.1498 0.1498  1 I 2.45
Ag: 0.0000 0.0000 0.0000  4 Cl 2.37
I: 0.5058 0.7515 0.7515  2 Cl 2.43-2.45
I: 0.4942 0.2485 0.2485  2 Cl 2.43-2.45



No. 4
The following is a GGA-PBE calculation of an optimized crystal structure of Zr4Cl, from the Alexandria database.

## Properties
Energy above the lowest structure with this stoichiometry ... 509.4 meV per atom
ΔE_f (raw) ... 0.40 eV per atom

a = 5.3060 Å, b = 5.3060 Å, c = 5.3060 Å
α = 109.47°, β = 109.47°, γ = 109.47°
With the nearest neighbours (Å) after each atom.
Sites, in units of the cell vectors:
Zr: 0.0000 0.5000 0.0000  2 Cl 2.65
Zr: 0.5000 0.5000 0.5000  2 Cl 2.65
Zr: 0.0000 0.0000 0.5000  2 Cl 2.65
Zr: 0.5000 0.0000 0.0000  2 Cl 2.65
Cl: 0.0000 0.0000 0.0000  8 Zr 2.65



No. 5
The following is a GGA-PBE calculation of an optimized crystal structure of Be3AlFe, from the Alexandria database.

## Properties
Energy above the lowest structure with this stoichiometry ... 882.8 meV per atom
ΔH_f (0 K) ... 1518 meV per atom

a = 4.0913 Å, b = 4.0913 Å, c = 4.0913 Å
α = 90.00°, β = 90.00°, γ = 90.00°
With the nearest neighbours (Å) after each atom.
Sites, in units of the cell vectors:
Be: 0.0000 0.0000 0.5000  2 Al 2.05
Be: 0.5000 0.0000 0.0000  2 Al 2.05
Be: 0.0000 0.5000 0.0000  2 Al 2.05
Al: 0.0000 0.0000 0.0000  6 Be 2.05
Fe: 0.5000 0.5000 0.5000  12 Be 2.89



No. 6
The following is a GGA-PBE calculation of an optimized crystal structure of CaSi2Tc, from the Alexandria database.

## Properties
Energy above the lowest structure with this stoichiometry ... 691.8 meV per atom
ΔE_f (raw) ... 0.24 eV per atom

a = 4.0369 Å, b = 4.0516 Å, c = 4.0516 Å
α = 90.00°, β = 90.00°, γ = 90.00°
With the nearest neighbours (Å) after each atom.
Sites, in units of the cell vectors:
Si: 0.0000 0.5000 0.5000  4 Tc 2.86, 4 Ca 2.86, 4 Si 2.86
Si: 0.0000 0.0000 0.0000  4 Tc 2.86, 4 Ca 2.86, 4 Si 2.86
Ca: 0.5000 0.0000 0.5000  8 Si 2.86, 4 Tc 2.86
Tc: 0.5000 0.5000 0.0000  8 Si 2.86, 4 Ca 2.86



No. 7
The following is a GGA-PBE calculation of an optimized crystal structure of Na2CuOsO4, from the Alexandria database.

## Properties
ΔE_f (raw) ... -1.02 eV per atom

a = 5.2051 Å, b = 5.2051 Å, c = 5.2051 Å
α = 102.96°, β = 112.82°, γ = 112.82°
With the nearest neighbours (Å) after each atom.
Sites, in units of the cell vectors:
Cu: 0.5000 0.2500 0.7500  4 O 2.02
Na: 0.5000 0.7500 0.2500  4 O 2.43
Na: 0.0000 0.0000 0.0000  4 O 2.38
O: 0.8646 0.6064 0.1715  1 Os 1.88, 1 Cu 2.02
O: 0.4349 0.8285 0.6930  1 Os 1.88, 1 Cu 2.02
O: 0.1354 0.3070 0.7419  1 Os 1.88, 1 Cu 2.02
O: 0.5651 0.2581 0.3936  1 Os 1.88, 1 Cu 2.02
Os: 0.0000 0.5000 0.5000  4 O 1.88



No. 8
The following is a GGA-PBE calculation of an optimized crystal structure of PrY4Sb5, from the Alexandria database.

## Properties
ΔE_f (raw) ... -1.17 eV per atom

a = 4.4250 Å, b = 6.2611 Å, c = 11.7030 Å
α = 105.52°, β = 100.90°, γ = 90.00°
With the nearest neighbours (Å) after each atom.
Sites, in units of the cell vectors:
Sb: 0.6039 0.1039 0.2077  4 Y 3.10-3.13, 2 Pr 3.19
Sb: 0.1994 0.6994 0.3988  6 Y 3.11-3.13
Sb: 0.3961 0.8961 0.7923  4 Y 3.10-3.13, 2 Pr 3.19
Sb: 0.0000 0.5000 0.0000  2 Pr 3.13, 4 Y 3.13
Sb: 0.8006 0.3006 0.6012  6 Y 3.11-3.13
Y: 0.7981 0.7981 0.5962  6 Sb 3.10-3.13
Y: 0.3996 0.3996 0.7993  6 Sb 3.11-3.13
Y: 0.6004 0.6004 0.2007  6 Sb 3.11-3.13
Y: 0.2019 0.2019 0.4038  6 Sb 3.10-3.13
Pr: 0.0000 0.0000 0.0000  6 Sb 3.13-3.19



No. 9
The following is a GGA-PBE calculation of an optimized crystal structure of AlAgW, from the Alexandria database.

## Properties
Energy above the lowest structure with this stoichiometry ... 1014.1 meV per atom
ΔH_f (0 K) ... 978 meV per atom

a = 4.2853 Å, b = 4.2853 Å, c = 4.2853 Å
α = 60.00°, β = 60.00°, γ = 60.00°
With the nearest neighbours (Å) after each atom.
Sites, in units of the cell vectors:
Ag: 0.5000 0.5000 0.5000  4 Al 2.62
W: 0.0000 0.0000 0.0000  4 Al 2.62
Al: 0.7500 0.7500 0.7500  4 Ag 2.62, 4 W 2.62



No. 10
The following is a GGA-PBE calculation of an optimized crystal structure of Th2AsPd, from the Alexandria database.

## Properties
ΔH_f (0 K) ... -312 meV per atom

a = 3.7816 Å, b = 3.7816 Å, c = 9.5418 Å
α = 78.57°, β = 78.57°, γ = 60.00°
With the nearest neighbours (Å) after each atom.
Sites, in units of the cell vectors:
As: 0.5000 0.5000 0.5000  6 Th 2.92
Pd: 0.0000 0.0000 0.0000  2 Th 2.70
Th: 0.0970 0.0970 0.7091  1 Pd 2.70, 3 As 2.92
Th: 0.9030 0.9030 0.2909  1 Pd 2.70, 3 As 2.92



No. 11
The following is a GGA-PBE calculation of an optimized crystal structure of Co2PdAu, from the Alexandria database.

## Properties
ΔH_f (0 K) ... 162 meV per atom

a = 3.8023 Å, b = 3.8417 Å, c = 3.8417 Å
α = 90.00°, β = 90.00°, γ = 90.00°
With the nearest neighbours (Å) after each atom.
Sites, in units of the cell vectors:
Co: 0.0000 0.5000 0.0000  4 Au 2.70, 4 Pd 2.70, 4 Co 2.72
Co: 0.0000 0.0000 0.5000  4 Pd 2.70, 4 Au 2.70, 4 Co 2.72
Au: 0.5000 0.5000 0.5000  8 Co 2.70, 4 Pd 2.72
Pd: 0.5000 0.0000 0.0000  8 Co 2.70, 4 Au 2.72



No. 12
The following is a GGA-PBE calculation of an optimized crystal structure of SmHo3Sc, from the Alexandria database.

## Properties
Energy above the lowest structure with this stoichiometry ... 2.3 meV per atom
ΔH_f (0 K) ... 41 meV per atom

a = 3.5042 Å, b = 3.5042 Å, c = 14.2938 Å
α = 82.96°, β = 82.96°, γ = 60.00°
With the nearest neighbours (Å) after each atom.
Sites, in units of the cell vectors:
Ho: 0.2374 0.2374 0.2877  3 Sc 3.37, 6 Ho 3.50, 3 Sm 3.58
Ho: 0.0310 0.0310 0.9070  3 Sc 3.37, 9 Ho 3.50-3.52
Ho: 0.4323 0.4323 0.7031  9 Ho 3.50-3.52, 3 Sm 3.55
Sc: 0.6342 0.6342 0.0975  6 Ho 3.37, 6 Sc 3.50
Sm: 0.8344 0.8344 0.4967  6 Sm 3.50, 6 Ho 3.55-3.58



No. 13
The following is a GGA-PBE calculation of an optimized crystal structure of Sc2AsSe2, from the Alexandria database.

## Properties
ΔE_f (raw) ... -1.20 eV per atom

a = 7.5566 Å, b = 7.5566 Å, c = 3.5434 Å
α = 90.00°, β = 90.00°, γ = 90.00°
With the nearest neighbours (Å) after each atom.
Sites, in units of the cell vectors:
As: 0.0000 0.0000 0.0000  4 Sc 2.84
As: 0.5000 0.5000 0.0000  4 Sc 2.84
Sc: 0.1607 0.3393 0.0000  6 Se 2.77-2.89, 2 As 2.84
Sc: 0.3393 0.8393 0.0000  6 Se 2.77-2.89, 2 As 2.84
Sc: 0.6607 0.1607 0.0000  6 Se 2.77-2.89, 2 As 2.84
Sc: 0.8393 0.6607 0.0000  6 Se 2.77-2.89, 2 As 2.84
Se: 0.8600 0.3600 0.5000  6 Sc 2.77-2.89, 1 Se 2.99
Se: 0.3600 0.1400 0.5000  6 Sc 2.77-2.89, 1 Se 2.99
Se: 0.6400 0.8600 0.5000  6 Sc 2.77-2.89, 1 Se 2.99
Se: 0.1400 0.6400 0.5000  6 Sc 2.77-2.89, 1 Se 2.99



No. 14
The following is a GGA-PBE calculation of an optimized crystal structure of Co2HgTe2, from the Alexandria database.

## Properties
Energy above the lowest structure with this stoichiometry ... 0.0 meV per atom
ΔE_f (raw) ... -0.06 eV per atom

a = 3.7423 Å, b = 3.7423 Å, c = 9.0702 Å
α = 78.09°, β = 78.09°, γ = 90.00°
With the nearest neighbours (Å) after each atom.
Sites, in units of the cell vectors:
Co: 0.7500 0.2500 0.5000  4 Te 2.48, 4 Co 2.65
Co: 0.2500 0.7500 0.5000  4 Te 2.48, 4 Co 2.65
Hg: 0.0000 0.0000 0.0000  4 Hg 3.74, 8 Te 3.78
Te: 0.6559 0.6559 0.6882  4 Co 2.48
Te: 0.3441 0.3441 0.3118  4 Co 2.48



No. 15
The following is a GGA-PBE calculation of an optimized crystal structure of Sc2WBr, from the Alexandria database.

## Properties
Energy above the lowest structure with this stoichiometry ... 0.0 meV per atom
ΔE_f (raw) ... -0.27 eV per atom

a = 3.2355 Å, b = 3.4680 Å, c = 7.9929 Å
α = 90.16°, β = 90.00°, γ = 90.00°
With the nearest neighbours (Å) after each atom.
Sites, in units of the cell vectors:
W: 0.5000 0.2500 0.2500  8 Sc 2.88
Sc: 0.0000 0.7484 0.0461  2 Br 2.87, 4 W 2.88
Sc: 0.0000 0.7516 0.4539  2 Br 2.87, 4 W 2.88
Br: 0.5000 0.7500 0.7500  4 Sc 2.87



No. 16
The following is a GGA-PBE calculation of an optimized crystal structure of PmThSe2, from the Alexandria database.

## Properties
Energy above the lowest structure with this stoichiometry ... 51.8 meV per atom
ΔE_f (raw) ... -1.63 eV per atom

a = 4.0287 Å, b = 4.0287 Å, c = 7.9151 Å
α = 75.26°, β = 75.26°, γ = 60.00°
With the nearest neighbours (Å) after each atom.
Sites, in units of the cell vectors:
Se: 0.2517 0.2517 0.2449  3 Pm 3.01, 3 Th 3.06
Se: 0.0817 0.0817 0.7549  3 Pm 2.94, 3 Th 2.98
Th: 0.4972 0.4972 0.5084  6 Se 2.98-3.06
Pm: 0.6694 0.6694 0.9918  6 Se 2.94-3.01



No. 17
The following is a GGA-PBE calculation of an optimized crystal structure of Np2S3, from the Alexandria database.

## Properties
ΔE_f (raw) ... -1.47 eV per atom

a = 3.8746 Å, b = 10.3409 Å, c = 10.5200 Å
α = 90.00°, β = 90.00°, γ = 90.00°
With the nearest neighbours (Å) after each atom.
Sites, in units of the cell vectors:
S: 0.7500 0.3687 0.4493  5 Np 2.77-2.80
S: 0.2500 0.6313 0.5507  5 Np 2.77-2.80
S: 0.7500 0.0556 0.6255  5 Np 2.73-2.85
S: 0.2500 0.5556 0.8745  5 Np 2.73-2.85
S: 0.2500 0.2026 0.2286  4 Np 2.75-2.83, 1 S 3.08
S: 0.7500 0.7026 0.2714  4 Np 2.75-2.83, 1 S 3.08
S: 0.7500 0.7974 0.7714  4 Np 2.75-2.83, 1 S 3.08
S: 0.7500 0.4444 0.1255  5 Np 2.73-2.85
S: 0.2500 0.2974 0.7286  4 Np 2.75-2.83, 1 S 3.08
S: 0.2500 0.9444 0.3745  5 Np 2.73-2.85
S: 0.7500 0.1313 0.9493  5 Np 2.77-2.80
S: 0.2500 0.8687 0.0507  5 Np 2.77-2.80
Np: 0.2500 0.9920 0.8138  7 S 2.80-2.85
Np: 0.2500 0.3171 0.9926  7 S 2.73-2.78
Np: 0.2500 0.5080 0.3138  7 S 2.80-2.85
Np: 0.7500 0.4920 0.6862  7 S 2.80-2.85
Np: 0.7500 0.8171 0.5074  7 S 2.73-2.78
Np: 0.7500 0.6829 0.0074  7 S 2.73-2.78
Np: 0.2500 0.1829 0.4926  7 S 2.73-2.78
Np: 0.7500 0.0080 0.1862  7 S 2.80-2.85



No. 18
The following is a GGA-PBE calculation of an optimized crystal structure of KNpP2Se8, from the Alexandria database.

## Properties
ΔE_f (raw) ... -0.39 eV per atom

a = 6.4845 Å, b = 6.4845 Å, c = 10.4549 Å
α = 71.93°, β = 71.93°, γ = 60.00°
With the nearest neighbours (Å) after each atom.
Sites, in units of the cell vectors:
Se: 0.0660 0.4024 0.8345  1 P 2.28
Se: 0.8199 0.8199 0.5402  1 P 2.14
Se: 0.5976 0.3029 0.1655  1 P 2.28
Se: 0.4024 0.6971 0.8345  1 P 2.28
Se: 0.6971 0.0660 0.8345  1 P 2.28
Se: 0.9340 0.5976 0.1655  1 P 2.28
Se: 0.3029 0.9340 0.1655  1 P 2.28
Se: 0.1801 0.1801 0.4598  1 P 2.14
K: 0.5000 0.5000 0.5000  12 Se 3.76-3.85
Np: 0.0000 0.0000 0.0000  6 Se 2.80
P: 0.7468 0.7468 0.7597  4 Se 2.14-2.28
P: 0.2532 0.2532 0.2403  4 Se 2.14-2.28



No. 19
The following is a GGA-PBE calculation of an optimized crystal structure of NbZnMo2Os, from the Alexandria database.

## Properties
ΔH_f (0 K) ... 1458 meV per atom

a = 4.7301 Å, b = 4.5930 Å, c = 4.7301 Å
α = 90.00°, β = 90.00°, γ = 90.00°
With the nearest neighbours (Å) after each atom.
Sites, in units of the cell vectors:
Nb: 0.5000 0.5000 0.5000  8 Mo 3.30, 4 Zn 3.34
Zn: 0.0000 0.5000 0.0000  2 Os 2.30
Mo: 0.0000 0.0000 0.5000  2 Os 2.37
Mo: 0.5000 0.0000 0.0000  2 Os 2.37
Os: 0.0000 0.0000 0.0000  2 Zn 2.30, 4 Mo 2.37



No. 20
The following is a GGA-PBE calculation of an optimized crystal structure of SmZnFeC, from the Alexandria database.

## Properties
ΔH_f (0 K) ... -138 meV per atom

a = 3.4786 Å, b = 3.4786 Å, c = 10.4046 Å
α = 90.00°, β = 90.00°, γ = 90.00°
With the nearest neighbours (Å) after each atom.
Sites, in units of the cell vectors:
Fe: 0.7500 0.2500 0.0000  4 C 1.97
Fe: 0.2500 0.7500 0.0000  4 C 1.97
Sm: 0.2500 0.2500 0.7742  4 C 2.84, 4 Fe 2.92
Sm: 0.7500 0.7500 0.2258  4 C 2.84, 4 Fe 2.92
C: 0.2500 0.2500 0.0897  4 Fe 1.97
C: 0.7500 0.7500 0.9103  4 Fe 1.97
Zn: 0.7500 0.2500 0.5000  4 Zn 2.46
Zn: 0.2500 0.7500 0.5000  4 Zn 2.46